First-principles (PBE) data for an optimized crystal structure of Np4Os, as listed in Alexandria.

The uncorrected energy is -57.4 eV for the cell shown. The density of states at the Fermi level comes out at 33.61 states/eV per cell. The crystal system is cubic. Its space group is No. 221. The calculation puts the formation energy at 1.115 eV per atom. The magnetization comes out at 7.58 μB per formula unit.

```
Np4Os
1.0
-0.0276 -0.7339 5.2240
3.9695 -3.4436 -0.4628
3.4745 3.9285 0.5703
Np Os
4 1
Cartesian
3.7220 0.2424 0.0537
1.9710 -2.0888 2.3806
1.7234 1.5973 2.8972
0.0000 0.0000 0.0000
3.7082 -0.1245 2.6658
```